## CrReGe3 (SCAN)

Data for a PBEsol-optimized structure of CrReGe3.

Cell lengths 4.7799, 4.7799, 4.7799 Å; angles 90.00, 90.00, 90.00 degrees
With the nearest neighbours (Å) after each atom.
Fractional positions:
Cr (0.0000, 0.0000, 0.0000)  12 Ge 3.38
Re (0.5000, 0.5000, 0.5000)  6 Ge 2.39
Ge (0.0000, 0.5000, 0.5000)  2 Re 2.39
Ge (0.5000, 0.0000, 0.5000)  2 Re 2.39
Ge (0.5000, 0.5000, 0.0000)  2 Re 2.39

Calculated values
**Raw total energy**: -28.73 eV per atom